Below is a geometry-optimized KCa2As structure, with properties calculated at the PBE-GGA level.

Cell lengths 7.4630, 7.4630, 7.4630 Å; angles 148.82, 131.64, 58.67 degrees
Fractional coordinates of all 4 atoms:
As1 0.2500 0.7500 0.5000
Ca1 0.0918 0.0918 0.0000
Ca2 0.4082 0.4082 0.0000
K1 0.7500 0.2500 0.5000

The calculated formation energy is -0.4610 eV/atom. The total energy is -2.90 eV/atom. For the size of the total moment, the calculation gives 0.00 μB per atom.